The following is a PBE-GGA calculation of a relaxed structure of Pr5Cu2Au, from Alexandria.

* energy of formation from the pure elements: -0.25 eV/atom
* spin magnetization: 0.005 μB/cell

a b c (Å): 7.382 7.382 16.243
angles (deg): 90.00 90.00 90.00
Space group I4/mcm (No. 140)
Unique sites:
Pr (0.000, 0.000, 0.000)
Pr (0.168, 0.332, 0.148)
Cu (0.119, 0.381, 0.500)
Au (0.000, 0.000, 0.250)

The following is a PBE-GGA calculation of a relaxed structure of LiInI, from Alexandria.

* relative energy among the computed polymorphs: 0 meV per atom
* uncorrected formation energy: -0.626 eV per atom
* spin magnetization: 0.000 μB/cell

a b c (Å): 11.693 5.735 6.048
angles (deg): 90.00 90.17 90.00
Space group P2_1/c (No. 14)
Unique sites:
Li (0.101, 0.000, 0.250)
In (0.500, 0.250, 0.126)
I (0.141, 0.000, 0.751)

The following is a PBE-GGA calculation of a relaxed structure of TeSe2Cl, from Alexandria.

* relative energy among the computed polymorphs: 550 meV per atom
* uncorrected formation energy: 0.407 eV per atom
* spin magnetization: 0.000 μB/cell

a b c (Å): 7.091 7.091 7.091
angles (deg): 90.00 90.00 90.00
Space group F-43m (No. 216)
Unique sites:
Te (0.000, 0.000, 0.000)
Se (0.000, 0.000, 0.500)
Se (0.250, 0.250, 0.250)
Cl (0.250, 0.250, 0.750)

no.,raw total energy (eV/atom)
1,-4.666
2,-2.694
3,-2.582